[1]
A plane-wave DFT calculation with GGA-PBE was carried out for an optimized crystal structure of GdDyHfTh.

Summary:
ΔE_f, eV per atom: 0.206
Crystal system: cubic

a = 7.7372 Å, b = 7.7372 Å, c = 7.7372 Å
α = 90.00°, β = 90.00°, γ = 90.00°
Space group F-43m (No. 216)
Symmetry-distinct sites (fractional):
1 Gd 0.0000 0.0000 0.0000 [4 per cell]
2 Dy 0.2500 0.2500 0.7500 [4 per cell]
3 Hf 0.2500 0.2500 0.2500 [4 per cell]
4 Th 0.0000 0.0000 0.5000 [4 per cell]


[2]
A plane-wave DFT calculation with GGA-PBE was carried out for an optimized crystal structure of InAgAs2Br.

Summary:
Energy relative to the elements, uncorrected, meV per atom: 694
Crystal system: tetragonal

a = 5.2741 Å, b = 5.2741 Å, c = 5.5955 Å
α = 90.00°, β = 90.00°, γ = 90.00°
Space group P4/mmm (No. 123)
Symmetry-distinct sites (fractional):
1 In 0.0000 0.0000 0.0000 [1 per cell]
2 Ag 0.5000 0.5000 0.5000 [1 per cell]
3 As 0.0000 0.5000 0.0000 [2 per cell]
4 Br 0.0000 0.0000 0.5000 [1 per cell]


[3]
A plane-wave DFT calculation with GGA-PBE was carried out for an optimized crystal structure of ZrGeF2.

Summary:
Energy relative to the elements, uncorrected, meV per atom: -1535
Crystal system: trigonal

a = 3.1591 Å, b = 3.1591 Å, c = 26.2277 Å
α = 90.00°, β = 90.00°, γ = 120.00°
Space group R-3m (No. 166, hexagonal axes)
Symmetry-distinct sites (fractional):
1 Zr 0.0000 0.0000 0.0000 [3 per cell]
2 Ge 0.0000 0.0000 0.5000 [3 per cell]
3 F 0.0000 0.0000 0.0765 [6 per cell]


[4]
A plane-wave DFT calculation with GGA-PBE was carried out for an optimized crystal structure of CsFeAs2Br.

Summary:
Energy relative to the elements, uncorrected, meV per atom: -186
Crystal system: tetragonal

a = 4.6318 Å, b = 4.6318 Å, c = 7.1200 Å
α = 90.00°, β = 90.00°, γ = 90.00°
Space group P4/mmm (No. 123)
Symmetry-distinct sites (fractional):
1 Cs 0.0000 0.0000 0.0000 [1 per cell]
2 Fe 0.5000 0.5000 0.5000 [1 per cell]
3 As 0.0000 0.5000 0.5000 [2 per cell]
4 Br 0.5000 0.5000 0.0000 [1 per cell]


[5]
A plane-wave DFT calculation with GGA-PBE was carried out for an optimized crystal structure of Y2NbCdN.

Summary:
Energy relative to the elements, uncorrected, meV per atom: -665
Crystal system: tetragonal

a = 4.8936 Å, b = 4.8936 Å, c = 4.2592 Å
α = 90.00°, β = 90.00°, γ = 90.00°
Space group P4/mmm (No. 123)
Symmetry-distinct sites (fractional):
1 Y 0.0000 0.5000 0.0000 [2 per cell]
2 Nb 0.0000 0.0000 0.5000 [1 per cell]
3 Cd 0.5000 0.5000 0.5000 [1 per cell]
4 N 0.0000 0.0000 0.0000 [1 per cell]


[6]
A plane-wave DFT calculation with GGA-PBE was carried out for an optimized crystal structure of TaHg3Br6.

Summary:
Energy relative to the elements, uncorrected, meV per atom: -574
Crystal system: triclinic

a = 7.3295 Å, b = 7.4077 Å, c = 7.4129 Å
α = 85.25°, β = 86.24°, γ = 86.42°
Space group P-1 (No. 2)
Symmetry-distinct sites (fractional):
1 Ta 0.0000 0.0000 0.0000 [1 per cell]
2 Hg 0.2934 0.2968 0.2914 [2 per cell]
3 Hg 0.5000 0.5000 0.5000 [1 per cell]
4 Br 0.1283 0.7760 0.7759 [2 per cell]
5 Br 0.2274 0.8783 0.2310 [2 per cell]
6 Br 0.2288 0.2313 0.8786 [2 per cell]


[7]
A plane-wave DFT calculation with GGA-PBE was carried out for an optimized crystal structure of Th4GaGe2.

Summary:
ΔE_f, eV per atom: -0.398
Crystal system: monoclinic

a = 14.9355 Å, b = 4.3211 Å, c = 7.3702 Å
α = 90.00°, β = 118.34°, γ = 90.00°
Space group C2/m (No. 12)
Symmetry-distinct sites (fractional):
1 Th 0.1216 0.0000 0.3135 [4 per cell]
2 Th 0.1246 0.5000 0.7744 [4 per cell]
3 Ga 0.0000 0.5000 0.0000 [2 per cell]
4 Ge 0.2388 0.5000 0.2310 [4 per cell]


[8]
A plane-wave DFT calculation with GGA-PBE was carried out for an optimized crystal structure of Pm3TaO7.

Summary:
Energy relative to the elements, uncorrected, meV per atom: -3340
Crystal system: orthorhombic

a = 7.7804 Å, b = 10.8380 Å, c = 7.6488 Å
α = 90.00°, β = 90.00°, γ = 90.00°
Space group C222_1 (No. 20)
Symmetry-distinct sites (fractional):
1 Pm 0.0374 0.0000 0.0000 [4 per cell]
2 Pm 0.2328 0.2686 0.7597 [8 per cell]
3 Ta 0.0016 0.5000 0.0000 [4 per cell]
4 O 0.0000 0.1291 0.2500 [4 per cell]
5 O 0.0000 0.1384 0.7500 [4 per cell]
6 O 0.0000 0.4391 0.7500 [4 per cell]
7 O 0.1726 0.3728 0.0422 [8 per cell]
8 O 0.2015 0.3789 0.4780 [8 per cell]


| no. | VASP energy (eV/atom) |
| --- | --- |
| 1 | -8.81 |
| 2 | -2.62 |
| 3 | -5.76 |
| 4 | -4.24 |
| 5 | -7.11 |
| 6 | -2.85 |
| 7 | -6.39 |
| 8 | -8.87 |